Record 1
Y2Zr3 | Alexandria | GGA-PBE | relaxed; E_form = 0.140 eV/atom; uncorrected energy = -7.57 eV/atom
1.0
0.0000 7.8468 3.1234
5.4390 0.0000 3.1234
5.4390 7.8468 0.0000
Y Zr
4 6
direct
0.1415 0.8585 0.2516
0.5016 0.9984 0.3915
0.8585 0.1415 0.7484
0.9984 0.5016 0.1085
0.1141 0.1141 0.8859
0.3641 0.3641 0.1359
0.4649 0.5538 0.3177
0.5538 0.4649 0.6636
0.5864 0.9323 0.6962
0.9323 0.5864 0.7851

---

Record 2
KGdCl3 | Alexandria | GGA-PBE | relaxed; E_form (uncorrected) = -1888 meV per atom; uncorrected energy = -6.03 eV/atom
1.0
5.4709 0.0000 0.0000
0.0000 5.4709 0.0000
0.0000 0.0000 5.4709
K Gd Cl
1 1 3
direct
0.0000 0.0000 0.0000
0.5000 0.5000 0.5000
0.0000 0.5000 0.5000
0.5000 0.0000 0.5000
0.5000 0.5000 0.0000

---

Record 3
Cs5Rb3H8 | Alexandria | GGA-PBE | relaxed; uncorrected energy = -2.29 eV/atom
1.0
4.4028 2.5420 7.2143
-4.4028 2.5420 7.2143
0.0000 -5.0839 7.2143
Cs Rb H
5 3 8
direct
0.0000 0.0000 0.0000
0.0000 0.5000 0.5000
0.5000 0.0000 0.5000
0.5000 0.5000 0.0000
0.5000 0.5000 0.5000
0.0000 0.0000 0.5000
0.0000 0.5000 0.0000
0.5000 0.0000 0.0000
0.2405 0.7500 0.7500
0.2455 0.2455 0.2455
0.2500 0.2500 0.7595
0.2500 0.7595 0.2500
0.7500 0.2405 0.7500
0.7500 0.7500 0.2405
0.7545 0.7545 0.7545
0.7595 0.2500 0.2500

---

Record 4
LaZn2Mo | Alexandria | GGA-PBE | relaxed; E_form = 0.265 eV/atom; uncorrected energy = -4.31 eV/atom
1.0
5.7198 0.0000 0.0000
0.0000 8.5535 0.0000
-0.0723 0.0000 3.1208
La Zn Mo
2 4 2
direct
0.0000 0.0000 0.0000
0.5000 0.5000 0.0000
0.2500 0.2500 0.5000
0.2500 0.7500 0.5000
0.7500 0.2500 0.5000
0.7500 0.7500 0.5000
0.0000 0.5000 0.0000
0.5000 0.0000 0.0000

---

- Which value of uncorrected energy does entry 1 give?
  -7.57 eV/atom

---

- The highest uncorrected energy belongs to which entry?
  Cs5Rb3H8